Entry from the Alexandria database: crystalline YMgAu2 at its relaxed geometry (GGA-PBE).

Results
As for the symmetry: P4/mmm (123). Its final energy is -4.386 eV per atom. As for the formation energy from the elements: -0.7323 eV per atom.

Cell: 3.4772 3.4777 6.9169 Å, 90.00 90.00 90.00°
Atoms (fractional coordinates):
Y 0.5000 0.5000 0.7500
Mg 0.5000 0.5000 0.2500
Au 0.0000 0.0000 0.0180
Au 0.0000 0.0000 0.4820